VASP calculation (PBE) on PdPb2I after structural relaxation.

Cell: 4.1142 4.1142 27.4655 Å, 90.00 90.00 120.00°
Space group R-3m (No. 166, hexagonal axes)
Inequivalent atoms, fractional coordinates:
Pd1 0.0000 0.0000 0.0000
Pb1 0.0000 0.0000 0.3895
I1 0.0000 0.0000 0.5000

Computed properties:
total energy	-44.3	eV/cell
V	402.6	Å³/cell
density	8.01	g/cm³
excess energy over the best structure of this formula in the dataset	0.040	eV per atom